(1)
A relaxed structure of Mg7Zn2Pt2, computed with PBE.

```
Mg7Zn2Pt2
1.0
6.6923 -0.0796 -0.6576
-0.3375 4.9840 0.3214
-1.0732 0.0744 6.6384
Mg Zn Pt
7 2 2
Cartesian
-0.0223 1.2721 3.7365
3.3921 3.7085 0.5307
5.3039 3.7068 2.5657
1.8895 1.2704 5.7715
0.0000 0.0000 0.0000
2.0257 3.6863 3.7300
3.2559 1.2925 2.5721
4.4282 2.4878 5.0536
0.8534 2.4911 1.2486
5.1244 1.3785 0.8167
0.1571 3.6003 5.4855
```

Results
Its magnetic moment is 0.00 μB per atom. The crystal system is monoclinic. Its volume is 19.8 A^3/atom. The space group is No. 12. The formation energy comes out at -0.363 eV per atom.

***

(2)
A relaxed structure of MgZn6Pt2, computed with PBE.

```
MgZn6Pt2
1.0
4.5038 0.0000 0.0000
-2.2519 3.7225 -0.2213
0.0000 -0.5041 8.1485
Mg Zn Pt
1 6 2
Cartesian
0.0000 -0.2520 4.0742
2.2519 0.7524 7.7414
0.0000 2.4661 0.1858
2.2519 3.5424 1.1170
0.0000 2.1894 2.8905
0.0000 -0.3239 6.8101
2.2519 1.0290 5.0366
0.0000 2.2847 5.6134
2.2519 0.9337 2.3138
```

Results
Its magnetic moment is 0.00 μB per atom. The crystal system is monoclinic. Its volume is 15.1 A^3/atom. For the energy relative to the lowest polymorph listed for this composition, the calculation gives 0 meV per atom. The space group is No. 12. The formation energy comes out at -0.342 eV per atom.

***

(3)
A relaxed structure of Mg6ZnPt, computed with PBE.

```
Mg6ZnPt
1.0
4.4888 0.0002 1.3517
-0.4073 4.4701 1.3522
0.0976 0.1060 7.8060
Mg Zn Pt
6 1 1
Cartesian
3.1250 3.4222 5.8810
2.7552 0.5590 7.1089
0.3073 2.7940 7.1092
1.4238 4.0173 3.4010
1.0540 1.1541 4.6289
3.8717 1.7823 3.4007
2.0407 2.2351 1.3519
0.0000 0.0000 0.0000
```

Results
Its magnetic moment is 0.00 μB per atom. The crystal system is tetragonal. Its volume is 19.4 A^3/atom. For the energy relative to the lowest polymorph listed for this composition, the calculation gives 0 meV per atom. The space group is No. 139. The formation energy comes out at -0.270 eV per atom.

***

(4)
A relaxed structure of Mg5Zn6Pt, computed with PBE.

```
Mg5Zn6Pt
1.0
-0.5345 4.8416 8.0304
3.5453 -2.1716 2.7796
4.8166 1.8655 -0.1870
Mg Zn Pt
5 6 1
Cartesian
3.5237 3.2919 4.3595
5.5889 -0.1902 1.7210
2.7730 -0.1159 0.8716
1.5054 1.3350 5.4050
4.3036 1.2436 6.2636
7.1353 3.8548 8.0130
1.4012 4.0665 6.2382
3.5229 0.4585 3.5807
6.4262 0.4690 4.3848
4.3045 4.0770 7.0423
0.6921 0.6806 2.6101
0.0000 0.0000 0.0000
```

Results
Its magnetic moment is 0.00 μB per atom. The crystal system is monoclinic. Its volume is 17.3 A^3/atom. The space group is No. 12. The formation energy comes out at -0.146 eV per atom.

***

(5)
A relaxed structure of Mg3ZnPt4, computed with PBE.

```
Mg3ZnPt4
1.0
4.0375 0.0000 -1.0899
-0.2892 4.0326 -1.0715
-0.0936 -0.1226 7.6768
Mg Zn Pt
3 1 4
Cartesian
-0.1446 2.0163 -0.5357
2.9093 0.9467 2.7542
0.7454 2.9633 2.7613
2.0187 0.0000 -0.5449
1.3434 1.4284 4.9768
2.3112 2.4817 0.5387
0.4371 0.4650 1.6194
3.2175 3.4450 3.8961
```

Results
Its magnetic moment is 0.00 μB per atom. The crystal system is monoclinic. Its volume is 15.5 A^3/atom. The space group is No. 12. The formation energy comes out at -0.810 eV per atom.

***

(6)
A relaxed structure of Mg2ZnPt, computed with PBE.

```
Mg2ZnPt
1.0
3.5983 0.0000 0.0000
0.0000 3.0291 0.0179
0.0000 3.0112 6.1824
Zn Mg Pt
1 2 1
Cartesian
1.7991 4.5303 4.6503
0.0000 3.0286 0.1086
0.0000 3.0207 3.0096
1.7991 1.5101 1.5501
```

Results
Its magnetic moment is 0.00 μB per atom. The crystal system is monoclinic. Its volume is 16.8 A^3/atom. The space group is No. 10. The formation energy comes out at -0.504 eV per atom.

***

(7)
A relaxed structure of MgZnPt, computed with PBE.

```
MgZnPt
1.0
3.8476 0.0000 0.2673
0.0000 3.8592 0.0000
-0.5521 0.0000 6.9300
Mg Zn Pt
2 2 2
Cartesian
2.4315 0.9648 6.1345
0.8639 2.8944 1.0628
0.6863 0.9648 3.5324
2.6092 2.8944 3.6649
2.7348 0.9648 1.9139
0.5607 2.8944 5.2834
```

Results
Its magnetic moment is 0.00 μB per atom. The crystal system is monoclinic. Its volume is 17.2 A^3/atom. The space group is No. 11. The formation energy comes out at -0.581 eV per atom.

***

(8)
A relaxed structure of Mg2ZnPt, computed with PBE.

```
Mg2ZnPt
1.0
-3.9337 -0.1242 2.3819
-1.1172 -4.4113 -2.0751
2.6985 -2.7132 4.3150
Mg Zn Pt
4 2 2
Cartesian
-1.4906 -1.5514 1.8997
-0.1525 -2.8968 4.0395
1.1162 -5.6463 1.5489
-0.2441 -4.2786 -0.6263
0.9530 -2.9213 1.4215
-2.6877 -2.9087 -0.1481
-1.3778 -4.4204 1.9364
-0.3570 -1.4096 -0.6631
```

Results
Its magnetic moment is 0.00 μB per atom. The crystal system is orthorhombic. Its volume is 16.6 A^3/atom. The space group is No. 59. The formation energy comes out at -0.544 eV per atom.

***

(9)
A relaxed structure of Mg3Zn3Pt2, computed with PBE.

```
Mg3Zn3Pt2
1.0
-3.7284 3.0320 2.0920
-4.5273 -5.0971 -0.6814
3.8210 -5.3388 14.5479
Mg Zn Pt
12 12 8
Cartesian
-1.1103 -4.1463 5.5003
-0.0312 -1.5464 10.2211
-2.2978 -4.6922 14.3672
-5.4303 -4.4229 1.8282
-3.3245 -3.2576 10.4581
-4.4036 -5.8575 5.7373
-2.1370 -2.7117 1.5912
0.9955 -2.9810 14.1302
-3.0404 -1.0788 4.7804
1.5581 -4.3367 11.1323
-1.3944 -6.3251 11.1781
-5.9928 -3.0672 4.8261
-0.4513 -1.7639 3.8489
-1.0462 -3.6392 12.0723
-3.9835 -5.6400 12.1095
-3.3886 -3.7647 3.8861
-1.8749 -2.3597 7.9596
0.8211 -3.4042 7.7126
-0.8337 -7.4561 14.5713
-6.9821 -1.5877 1.6734
-2.5599 -5.0441 7.9988
-5.2558 -3.9996 8.2458
-3.6011 0.0522 1.3872
2.5473 -5.8162 14.2851
-2.4053 0.0349 7.2871
-0.7743 -4.0701 9.5779
-1.0411 -8.8198 12.4346
-4.6489 -1.9527 2.6173
-2.0295 -7.4387 8.6714
-3.6605 -3.3337 6.3806
-3.3937 1.4159 3.5238
0.2142 -5.4512 13.3412
```

Results
Its magnetic moment is 0.00 μB per atom. The crystal system is orthorhombic. Its volume is 17.9 A^3/atom. For the energy relative to the lowest polymorph listed for this composition, the calculation gives 0 meV per atom. The space group is No. 62. The formation energy comes out at -0.488 eV per atom.

***

(10)
A relaxed structure of Mg2ZnPt, computed with PBE.

```
Mg2ZnPt
1.0
4.5228 0.0000 0.0000
2.2614 3.9169 0.0000
2.2614 1.3056 3.6929
Zn Mg Pt
1 2 1
Cartesian
6.7842 3.9169 2.7697
0.0000 0.0000 0.0000
2.2614 1.3056 0.9232
4.5228 2.6113 1.8464
```

Results
Its magnetic moment is 0.00 μB per atom. The crystal system is cubic. Its volume is 16.4 A^3/atom. The space group is No. 216. The formation energy comes out at -0.484 eV per atom.

***

(11)
A relaxed structure of Mg2Zn6Pt, computed with PBE.

```
Mg2Zn6Pt
1.0
-0.1598 2.9094 4.2731
-4.2100 2.8115 1.0582
-2.5187 -5.0246 3.3290
Mg Zn Pt
2 6 1
Cartesian
-3.1005 3.4402 3.8017
-3.7880 -2.7440 4.8586
-5.3170 1.3703 6.6591
-5.2386 -0.0509 4.5708
-3.2597 -0.0036 6.1420
-1.5715 -0.6741 2.0012
-1.6499 0.7471 4.0894
-3.6288 0.6998 2.5183
0.0000 0.0000 0.0000
```

Results
Its magnetic moment is 0.00 μB per atom. The crystal system is trigonal. Its volume is 16.8 A^3/atom. For the energy relative to the lowest polymorph listed for this composition, the calculation gives 10 meV per atom. The space group is No. 164. The formation energy comes out at -0.222 eV per atom.

***

(12)
A relaxed structure of MgZn2Pt, computed with PBE.

```
MgZn2Pt
1.0
-3.3722 -0.7521 -2.5349
1.7803 -0.4906 -2.2229
1.0520 -5.2430 0.1561
Mg Pt Zn
1 1 2
Cartesian
1.5323 -3.0996 -1.1189
0.7697 -4.6800 -3.2575
1.4522 -0.4833 -1.7885
-1.0976 -1.5802 -1.6931
```

Results
Its magnetic moment is 0.00 μB per atom. The crystal system is monoclinic. Its volume is 16.0 A^3/atom. The space group is No. 6. The formation energy comes out at -0.407 eV per atom.

***

(13)
A relaxed structure of Mg2Zn6Pt, computed with PBE.

```
Mg2Zn6Pt
1.0
-1.9154 5.3300 3.4037
-4.1938 1.2877 -2.7388
-4.7266 -1.5541 1.4113
Mg Zn Pt
2 6 1
Cartesian
-7.6719 4.6762 2.2171
-3.1639 0.3874 -0.1409
-5.8368 0.7836 1.3137
-7.9183 1.8718 0.2652
-5.5730 2.1909 -0.7416
-4.9990 4.2800 0.7626
-2.9175 3.1917 1.8110
-5.2628 2.8727 2.8178
0.0000 0.0000 0.0000
```

Results
Its magnetic moment is 0.00 μB per atom. The crystal system is monoclinic. Its volume is 16.5 A^3/atom. For the energy relative to the lowest polymorph listed for this composition, the calculation gives 0 meV per atom. The space group is No. 12. The formation energy comes out at -0.232 eV per atom.

***

(14)
A relaxed structure of Mg3ZnPt3, computed with PBE.

```
Mg3ZnPt3
1.0
-1.8886 -3.6229 -4.9649
1.9548 -5.3579 2.9689
-5.3089 -0.5825 2.4444
Mg Zn Pt
6 2 6
Cartesian
-2.6376 -2.5427 0.7217
-1.6569 -5.2170 2.2150
-3.5858 -4.3463 -1.7666
0.9152 -4.8886 0.8229
-0.8490 -4.0922 -2.8190
-2.6051 -7.0206 -0.2733
0.0161 -2.2140 -0.4920
-5.2587 -7.3493 0.9403
-4.0221 -0.4416 1.8519
-0.2962 -7.3127 1.0879
-2.2178 -6.4452 -2.8787
-4.9465 -2.2506 -0.6395
-3.0249 -3.1181 3.3271
-1.2206 -9.1217 -1.4035
```

Results
Its magnetic moment is 0.00 μB per atom. The crystal system is orthorhombic. Its volume is 17.3 A^3/atom. The space group is No. 65. The formation energy comes out at -0.691 eV per atom.

***

(15)
A relaxed structure of Mg2ZnPt, computed with PBE.

```
Mg2ZnPt
1.0
9.3270 0.0695 0.0409
8.8321 2.9984 0.0409
8.8321 1.4922 2.6011
Mg Pt Zn
2 1 1
Cartesian
26.8422 4.5349 2.6681
13.6446 2.3052 1.3563
6.7478 1.1400 0.6707
20.2434 3.4201 2.0122
```

Results
Its magnetic moment is 0.00 μB per atom. The crystal system is trigonal. Its volume is 17.5 A^3/atom. The space group is No. 166. The formation energy comes out at -0.274 eV per atom.

***

(16)
A relaxed structure of MgZn3Pt, computed with PBE.

```
MgZn3Pt
1.0
4.8467 0.0000 0.0000
0.0000 4.8467 0.0000
0.0000 0.0000 4.8467
Zn Mg Pt
3 1 1
Cartesian
0.0000 2.4234 0.0000
0.0000 0.0000 2.4234
2.4234 0.0000 0.0000
2.4234 2.4234 2.4234
0.0000 0.0000 0.0000
```

Results
Its magnetic moment is 0.00 μB per atom. The crystal system is cubic. Its volume is 22.8 A^3/atom. For the energy relative to the lowest polymorph listed for this composition, the calculation gives 354 meV per atom. The space group is No. 221. The formation energy comes out at 0.000 eV per atom.

***

(17)
A relaxed structure of Mg3Zn6Pt2, computed with PBE.

```
Mg3Zn6Pt2
1.0
6.5897 0.0000 1.8383
3.6471 5.4393 -0.3437
0.2890 -4.6309 11.6943
Mg Zn Pt
6 12 4
Cartesian
5.7242 1.7017 8.0943
5.7148 -2.1133 9.9642
8.4020 -0.4890 11.2252
2.1237 1.2974 1.9636
4.8016 -0.8932 5.0945
4.8110 2.9218 3.2246
4.3239 0.4144 10.1688
3.0661 -3.8155 10.9572
7.4140 -2.4459 12.8467
2.2480 0.0102 4.4634
8.4547 2.5892 6.6495
6.5632 1.2196 5.4454
6.2019 0.3941 3.0200
7.4597 4.6240 2.2316
3.1118 3.2544 0.3422
8.2778 0.7983 8.7254
2.0710 -1.7807 6.5393
3.9626 -0.4111 7.7435
5.8347 -0.4609 12.1870
6.5003 -0.8651 7.2464
4.6911 1.2693 1.0018
4.0254 1.6736 5.9424
```

Results
Its magnetic moment is 0.00 μB per atom. The crystal system is monoclinic. Its volume is 17.0 A^3/atom. The space group is No. 15. The formation energy comes out at -0.311 eV per atom.

***

(18)
A relaxed structure of Mg3ZnPt12, computed with PBE.

```
Mg3ZnPt12
1.0
3.9563 0.0000 0.0000
0.0000 3.9563 0.0000
0.0000 0.0000 15.8444
Mg Zn Pt
3 1 12
Cartesian
0.0000 0.0000 3.9382
0.0000 0.0000 7.9222
0.0000 0.0000 11.9061
0.0000 0.0000 0.0000
1.9782 1.9782 0.0000
1.9782 1.9782 3.9455
1.9782 1.9782 7.9222
1.9782 1.9782 11.8988
1.9782 0.0000 1.9503
1.9782 0.0000 5.9351
1.9782 0.0000 9.9093
1.9782 0.0000 13.8940
0.0000 1.9782 1.9503
0.0000 1.9782 5.9351
0.0000 1.9782 9.9093
0.0000 1.9782 13.8940
```

Results
Its magnetic moment is 0.00 μB per atom. The crystal system is tetragonal. Its volume is 15.5 A^3/atom. The space group is No. 123. The formation energy comes out at -0.539 eV per atom.

***

(19)
A relaxed structure of MgZn2Pt3, computed with PBE.

```
MgZn2Pt3
1.0
4.1001 0.0000 0.0163
2.0501 6.1748 0.0081
-0.0283 0.0000 7.1033
Mg Zn Pt
2 4 6
Cartesian
2.0501 2.0249 0.0081
4.1001 4.1499 0.0163
0.0000 0.0000 0.0000
-0.0141 0.0000 3.5517
2.0359 2.0763 3.5598
4.0860 4.0985 3.5680
4.0791 2.0473 5.2993
2.0428 0.0000 1.8419
2.0428 4.1275 1.8285
4.0929 2.0473 1.8366
2.0290 4.1275 5.2911
2.0291 0.0000 5.2777
```

Results
Its magnetic moment is 0.00 μB per atom. The crystal system is orthorhombic. Its volume is 15.0 A^3/atom. For the energy relative to the lowest polymorph listed for this composition, the calculation gives 0 meV per atom. The space group is No. 65. The formation energy comes out at -0.684 eV per atom.

***

(20)
A relaxed structure of Mg3Zn2Pt3, computed with PBE.

```
Mg3Zn2Pt3
1.0
-2.1096 4.6624 -0.3857
3.2814 0.9045 -7.0152
-7.1013 -3.1632 0.6039
Mg Zn Pt
6 4 6
Cartesian
-0.7398 3.7290 -2.0903
-4.4214 1.8179 -5.0546
-3.4053 2.6847 -0.1342
1.9115 1.8378 -5.3106
-1.5081 0.5857 -1.7424
-5.8056 -1.1856 0.3525
-3.6404 -1.8073 -1.9358
-1.2343 1.8797 -4.6683
-0.1795 -0.4514 -4.4755
-4.6952 0.5238 -2.1286
0.4112 4.0462 -4.5509
-3.0816 2.6102 -2.8057
-5.8962 1.5751 0.0776
0.7606 1.5206 -2.8500
-2.8480 -0.2066 -3.9912
-3.3147 -0.0760 0.1406
```

Results
Its magnetic moment is 0.00 μB per atom. The crystal system is hexagonal. Its volume is 16.9 A^3/atom. For the energy relative to the lowest polymorph listed for this composition, the calculation gives 64 meV per atom. The space group is No. 193. The formation energy comes out at -0.631 eV per atom.

***

Number 1: electronic total energy -2.71 eV per atom. Number 2: electronic total energy -2.71 eV per atom. Number 3: electronic total energy -2.38 eV per atom. Number 4: electronic total energy -1.95 eV per atom. Number 5: electronic total energy -4.59 eV per atom. Number 6: electronic total energy -3.13 eV per atom. Number 7: electronic total energy -3.55 eV per atom. Number 8: electronic total energy -3.17 eV per atom. Number 9: electronic total energy -3.07 eV per atom. Number 10: electronic total energy -3.11 eV per atom. Number 11: electronic total energy -2.10 eV per atom. Number 12: electronic total energy -2.95 eV per atom. Number 13: electronic total energy -2.11 eV per atom. Number 14: electronic total energy -4.15 eV per atom. Number 15: electronic total energy -2.90 eV per atom. Number 16: electronic total energy -2.29 eV per atom. Number 17: electronic total energy -2.54 eV per atom. Number 18: electronic total energy -5.45 eV per atom. Number 19: electronic total energy -4.39 eV per atom. Number 20: electronic total energy -3.81 eV per atom.